BiSbAs | the Alexandria database | PBE | relaxed; E = -0.29851 Ry per atom; formation energy without anion corrections = 0.156 eV per atom; E above lowest polymorph = 161.6 meV per atom
1.0
0.041 4.996 -1.348
-1.110 3.217 3.898
6.757 9.460 4.689
As Sb Bi
2 2 2
direct
0.145 0.145 0.642 As
0.609 0.609 0.665 As
0.133 0.133 0.933 Sb
0.621 0.621 0.375 Sb
0.298 0.298 0.348 Bi
0.455 0.455 0.960 Bi

BiSbAs | the Alexandria database | PBE | relaxed; E = -0.30731 Ry per atom; formation energy without anion corrections = 0.036 eV per atom; E above lowest polymorph = 41.8 meV per atom
1.0
-3.423 -2.139 -2.119
2.779 -1.899 -2.573
3.422 -13.481 13.645
As Bi Sb
4 4 4
direct
0.780 0.000 0.438 As
0.128 0.500 0.289 As
0.780 0.500 0.938 As
0.128 0.000 0.789 As
0.417 0.000 0.124 Bi
0.867 0.500 0.085 Bi
0.867 0.000 0.585 Bi
0.417 0.500 0.624 Bi
0.168 0.000 0.929 Sb
0.517 0.500 0.781 Sb
0.168 0.500 0.429 Sb
0.517 0.000 0.281 Sb

Question: formation energy without anion corrections of number 2 (BiSbAs)?
Answer: 0.036 eV per atom